Entry 1:
Entry from the Open Quantum Materials Database: an optimized crystal structure of Pr5Sn10Ir4 (PBE-GGA).

Values from the calculation:
raw total energy: -224.0 eV for the cell shown
symmetry: P4/mbm (127)

Cell lengths 14.1657, 14.1657, 4.6842 Å; angles 90.00, 90.00, 90.00 degrees
Last column: nearest neighbours and their distance in Å.
Positions (direct):
Pr: 0.0000 0.0000 0.0000  12 Sn 3.28-3.57, 4 Ir 3.51
Pr: 0.1120 0.3880 0.5000  10 Sn 3.53-3.62, 4 Ir 3.65
Pr: 0.1766 0.6766 0.5000  8 Sn 3.17-3.35, 4 Ir 3.35
Pr: 0.3234 0.1766 0.5000  8 Sn 3.17-3.35, 4 Ir 3.35
Pr: 0.3880 0.8880 0.5000  10 Sn 3.53-3.62, 4 Ir 3.65
Pr: 0.5000 0.5000 0.0000  12 Sn 3.28-3.57, 4 Ir 3.51
Pr: 0.6120 0.1120 0.5000  10 Sn 3.53-3.62, 4 Ir 3.65
Pr: 0.6766 0.8234 0.5000  8 Sn 3.17-3.35, 4 Ir 3.35
Pr: 0.8234 0.3234 0.5000  8 Sn 3.17-3.35, 4 Ir 3.35
Pr: 0.8880 0.6120 0.5000  10 Sn 3.53-3.62, 4 Ir 3.65
Sn: 0.0045 0.8380 0.5000  2 Ir 2.65
Sn: 0.0702 0.5702 0.0000  2 Ir 2.67, 1 Sn 2.81
Sn: 0.1558 0.1981 0.0000  2 Ir 2.67-2.75, 1 Sn 2.93
Sn: 0.1620 0.0045 0.5000  2 Ir 2.65
Sn: 0.1981 0.8442 0.0000  2 Ir 2.67-2.75, 1 Sn 2.93
Sn: 0.3019 0.3442 0.0000  2 Ir 2.67-2.75, 1 Sn 2.93
Sn: 0.3380 0.5045 0.5000  2 Ir 2.65
Sn: 0.3442 0.6981 0.0000  2 Ir 2.67-2.75, 1 Sn 2.93
Sn: 0.4298 0.0702 0.0000  2 Ir 2.67, 1 Sn 2.81
Sn: 0.4955 0.3380 0.5000  2 Ir 2.65
Sn: 0.5045 0.6620 0.5000  2 Ir 2.65
Sn: 0.5702 0.9298 0.0000  2 Ir 2.67, 1 Sn 2.81
Sn: 0.6558 0.3019 0.0000  2 Ir 2.67-2.75, 1 Sn 2.93
Sn: 0.6620 0.4955 0.5000  2 Ir 2.65
Sn: 0.6981 0.6558 0.0000  2 Ir 2.67-2.75, 1 Sn 2.93
Sn: 0.8019 0.1558 0.0000  2 Ir 2.67-2.75, 1 Sn 2.93
Sn: 0.8380 0.9955 0.5000  2 Ir 2.65
Sn: 0.8442 0.8019 0.0000  2 Ir 2.67-2.75, 1 Sn 2.93
Sn: 0.9298 0.4298 0.0000  2 Ir 2.67, 1 Sn 2.81
Sn: 0.9955 0.1620 0.5000  2 Ir 2.65
Ir: 0.0262 0.7535 0.0000  5 Sn 2.65-2.75
Ir: 0.2465 0.0262 0.0000  5 Sn 2.65-2.75
Ir: 0.2535 0.5262 0.0000  5 Sn 2.65-2.75
Ir: 0.4738 0.2535 0.0000  5 Sn 2.65-2.75
Ir: 0.5262 0.7465 0.0000  5 Sn 2.65-2.75
Ir: 0.7465 0.4738 0.0000  5 Sn 2.65-2.75
Ir: 0.7535 0.9738 0.0000  5 Sn 2.65-2.75
Ir: 0.9738 0.2465 0.0000  5 Sn 2.65-2.75

Entry 2:
Entry from the Open Quantum Materials Database: an optimized crystal structure of Pd2S2BrCl (PBE-GGA).

Values from the calculation:
raw total energy: -24.0 eV for the cell shown
symmetry: Pmm2 (25)

Cell lengths 3.5073, 5.1319, 7.9485 Å; angles 90.00, 90.00, 90.00 degrees
Last column: nearest neighbours and their distance in Å.
Positions (direct):
Pd: 0.0000 0.0000 0.0000  4 S 2.35-2.58, 2 Cl 2.43
Pd: 0.5000 0.5000 0.2356  4 S 2.36-2.58, 2 Br 2.54
S: 0.0000 0.5000 0.0368  4 Pd 2.36-2.58
S: 0.5000 0.0000 0.1972  4 Pd 2.35-2.58
Br: 0.0000 0.5000 0.4669  2 Pd 2.54
Cl: 0.5000 0.0000 0.7887  2 Pd 2.43

Entry 3:
Entry from the Open Quantum Materials Database: an optimized crystal structure of BeTlCuMo (PBE-GGA).

Values from the calculation:
distance to the lowest polymorph of the same formula: 0.00 kcal/mol of atoms
symmetry: F-43m (216)

Cell lengths 4.3924, 4.3924, 4.3924 Å; angles 60.00, 60.00, 60.00 degrees
Last column: nearest neighbours and their distance in Å.
Positions (direct):
Be: 0.0000 0.0000 0.0000  4 Mo 2.69, 4 Tl 2.69
Tl: 0.2500 0.2500 0.2500  4 Be 2.69, 4 Cu 2.69
Cu: 0.5000 0.5000 0.5000  4 Tl 2.69, 4 Mo 2.69
Mo: 0.7500 0.7500 0.7500  4 Be 2.69, 4 Cu 2.69